# Tb2PuPaS4 (PBE, relaxed)
# V, Å³/atom: 21.31
# Total energy, eV/cell: -64.4
data_Tb2PuPaS4
_chemical_formula_sum 'Tb2 Pu1 Pa1 S4'
_symmetry_space_group_name_H-M 'P 1 2/m 1'
_symmetry_Int_Tables_number 10
_symmetry_space_group_name_Hall '-P 2y'
_cell_length_a 6.7901
_cell_length_b 3.8957
_cell_length_c 6.8237
_cell_angle_alpha 90.00
_cell_angle_beta 109.20
_cell_angle_gamma 90.00
loop_
_atom_site_label
_atom_site_type_symbol
_atom_site_fract_x
_atom_site_fract_y
_atom_site_fract_z
_atom_site_occupancy
Tb1 Tb 0.0000 0.0000 0.0000 1
Tb2 Tb 0.5000 0.5000 0.0000 1
Pu1 Pu 0.0000 0.5000 0.5000 1
Pa1 Pa 0.5000 0.0000 0.5000 1
S1 S 0.2502 0.5000 0.2487 1
S2 S 0.2516 0.0000 0.7507 1

=====

# PuPaTe2S (PBE, relaxed)
# V, Å³/atom: 26.95
# Total energy, eV/cell: -74.4
data_PuPaTe2S
_chemical_formula_sum 'Pu2 Pa2 Te4 S2'
_symmetry_space_group_name_H-M 'P 4/n m m'
_symmetry_Int_Tables_number 129
_cell_length_a 4.2699
_cell_length_b 4.2699
_cell_length_c 14.7799
_cell_angle_alpha 90.00
_cell_angle_beta 90.00
_cell_angle_gamma 90.00
loop_
_symmetry_equiv_pos_as_xyz
'x,y,z'
'-x,-y,-z'
'-y+1/2,x,z'
'y+1/2,-x,-z'
'-x+1/2,-y+1/2,z'
'x+1/2,y+1/2,-z'
'y,-x+1/2,z'
'-y,x+1/2,-z'
'x+1/2,-y,-z'
'-x+1/2,y,z'
'-y,-x,-z'
'y,x,z'
'-x,y+1/2,-z'
'x,-y+1/2,z'
'y+1/2,x+1/2,-z'
'-y+1/2,-x+1/2,z'
loop_
_atom_site_label
_atom_site_type_symbol
_atom_site_fract_x
_atom_site_fract_y
_atom_site_fract_z
_atom_site_occupancy
Pu1 Pu 0.2500 0.2500 0.1088 1
Pa1 Pa 0.2500 0.2500 0.5862 1
Te1 Te 0.2500 0.2500 0.3725 1
Te2 Te 0.2500 0.2500 0.7978 1
S1 S 0.2500 0.7500 0.0000 1

=====

Number 1: ΔE_f (raw) -1847 meV per atom. Number 2: ΔE_f (raw) -593 meV per atom.